## ReAs2 (PBE)

Data for a relaxed ReAs2 crystal.

Cell: 3.2139 3.2139 5.9794 Å, 90.00 90.00 120.00°
With the nearest neighbours (Å) after each atom.
Atoms (fractional coordinates):
1 Re 0.0000 0.0000 0.0000  6 As 2.55
2 As 0.3333 0.6667 0.2920  3 Re 2.55
3 As 0.6667 0.3333 0.7080  3 Re 2.55

Results
energy relative to the elements	0.102	eV per atom
M_tot	0.000	μB per atom
N(E_F)	1.55	states/eV/f.u.
ρ	10.43	g/cm³